No. 1
{
  "formula": "La2CdS4",
  "functional": "PBEsol",
  "state": "optimized geometry",
  "cell": [[7.409, -0.009, -0.016], [-2.637, 6.924, 0.016], [-2.637, -3.284, 6.095]],
  "species": ["La", "La", "La", "La", "Cd", "Cd", "S", "S", "S", "S", "S", "S", "S", "S"],
  "frac_coords": [[0.885, 0.510, 0.125], [0.385, 0.875, 0.760], [0.115, 0.240, 0.625], [0.615, 0.375, 0.490], [0.500, 0.750, 0.250], [0.000, 0.000, 0.000], [0.236, 0.986, 0.365], [0.264, 0.499, 0.379], [0.621, 0.635, 0.871], [0.736, 0.115, 0.236], [0.879, 0.764, 0.501], [0.121, 0.621, 0.885], [0.379, 0.251, 0.014], [0.764, 0.129, 0.749]],
  "energy_ev_per_atom": -5.898,
  "formation_energy_uncorrected_ev_per_atom": -1.69,
  "sg": "No. 122",
  "dos_ef_per_ev_atom": 0.00
}

No. 2
{
  "formula": "La6CdSi2S14",
  "functional": "PBEsol",
  "state": "optimized geometry",
  "cell": [[5.706, 0.000, 0.000], [0.000, 10.267, 0.000], [0.000, -5.134, 8.892]],
  "species": ["La", "La", "La", "La", "La", "La", "Cd", "Si", "Si", "S", "S", "S", "S", "S", "S", "S", "S", "S", "S", "S", "S", "S", "S"],
  "frac_coords": [[0.248, 0.358, 0.122], [0.248, 0.878, 0.235], [0.248, 0.765, 0.642], [0.754, 0.642, 0.877], [0.754, 0.123, 0.765], [0.754, 0.235, 0.358], [0.495, 0.000, 0.000], [0.832, 0.667, 0.333], [0.340, 0.333, 0.667], [0.464, 0.667, 0.333], [0.971, 0.333, 0.667], [0.734, 0.255, 0.087], [0.734, 0.913, 0.168], [0.734, 0.832, 0.745], [0.246, 0.746, 0.915], [0.246, 0.085, 0.831], [0.246, 0.169, 0.254], [0.976, 0.523, 0.409], [0.976, 0.591, 0.114], [0.976, 0.886, 0.477], [0.481, 0.477, 0.590], [0.481, 0.410, 0.886], [0.481, 0.114, 0.523]],
  "energy_ev_per_atom": -6.357,
  "formation_energy_uncorrected_ev_per_atom": -1.74,
  "sg": "No. 143",
  "dos_ef_per_ev_atom": 0.00
}

No. 3
{
  "formula": "LaTi2CdS",
  "functional": "PBEsol",
  "state": "optimized geometry",
  "cell": [[-3.627, -2.589, 1.069], [1.544, -3.307, -2.770], [2.730, -2.141, 4.078]],
  "species": ["S", "Cd", "Ti", "Ti", "La"],
  "frac_coords": [[0.000, 0.000, 0.000], [0.500, 0.500, 0.500], [0.000, 0.500, 0.000], [0.500, 0.000, 0.000], [0.000, 0.000, 0.500]],
  "energy_ev_per_atom": -5.935,
  "formation_energy_uncorrected_ev_per_atom": -0.42,
  "sg": "No. 123",
  "dos_ef_per_ev_atom": 0.99
}

No. 4
{
  "formula": "LaY2CdS",
  "functional": "PBEsol",
  "state": "optimized geometry",
  "cell": [[-2.443, -4.426, 1.977], [3.876, -0.351, 4.004], [-3.137, 3.213, 3.318]],
  "species": ["Y", "Y", "S", "Cd", "La"],
  "frac_coords": [[0.000, 0.000, 0.500], [0.000, 0.500, 0.000], [0.500, 0.500, 0.500], [0.500, 0.000, 0.000], [0.000, 0.000, 0.000]],
  "energy_ev_per_atom": -3.913,
  "formation_energy_uncorrected_ev_per_atom": 1.00,
  "sg": "No. 123",
  "dos_ef_per_ev_atom": 0.93
}

No. 5
{
  "formula": "La2CdSb",
  "functional": "PBEsol",
  "state": "optimized geometry",
  "cell": [[-0.166, -2.813, -2.927], [-0.015, -2.929, 2.816], [-6.992, 0.217, 0.188]],
  "species": ["Sb", "La", "La", "Cd"],
  "frac_coords": [[0.500, 0.500, 0.000], [0.000, 0.000, 0.759], [0.000, 0.000, 0.241], [0.500, 0.500, 0.500]],
  "energy_ev_per_atom": -4.846,
  "formation_energy_uncorrected_ev_per_atom": -0.73,
  "sg": "No. 123",
  "dos_ef_per_ev_atom": 1.01
}

No. 6
{
  "formula": "LaCdSb",
  "functional": "PBEsol",
  "state": "optimized geometry",
  "cell": [[5.212, 0.000, 0.000], [2.606, 4.513, 0.000], [2.606, 1.504, 4.255]],
  "species": ["Sb", "Cd", "La"],
  "frac_coords": [[0.000, 0.000, 0.000], [0.500, 0.500, 0.500], [0.250, 0.250, 0.250]],
  "energy_ev_per_atom": -4.104,
  "formation_energy_uncorrected_ev_per_atom": -0.40,
  "sg": "No. 216",
  "dos_ef_per_ev_atom": 0.13
}

No. 7
{
  "formula": "LaCdSb2",
  "functional": "PBEsol",
  "state": "optimized geometry",
  "cell": [[-1.319, -0.078, 4.456], [-4.438, -0.408, -1.321], [3.313, -4.625, -1.524]],
  "species": ["Sb", "Sb", "La", "Cd"],
  "frac_coords": [[0.250, 0.750, 0.500], [0.750, 0.250, 0.500], [0.500, 0.500, 0.000], [0.000, 0.000, 0.000]],
  "energy_ev_per_atom": -4.509,
  "formation_energy_uncorrected_ev_per_atom": -0.59,
  "sg": "No. 139",
  "dos_ef_per_ev_atom": 0.43
}

No. 8
{
  "formula": "LaCdSb",
  "functional": "PBEsol",
  "state": "optimized geometry",
  "cell": [[3.458, 0.000, 0.000], [0.000, 4.217, 0.000], [-1.729, -2.109, 5.531]],
  "species": ["Sb", "Cd", "La"],
  "frac_coords": [[0.347, 0.347, 0.693], [0.987, 0.987, 0.974], [0.666, 0.666, 0.333]],
  "energy_ev_per_atom": -4.228,
  "formation_energy_uncorrected_ev_per_atom": -0.53,
  "sg": "No. 44",
  "dos_ef_per_ev_atom": 0.54
}

No. 9
{
  "formula": "LaCdSb2",
  "functional": "PBEsol",
  "state": "optimized geometry",
  "cell": [[4.072, 0.000, 0.000], [0.000, 4.072, 0.000], [0.000, 0.000, 6.493]],
  "species": ["Sb", "Sb", "Cd", "La"],
  "frac_coords": [[0.000, 0.000, 0.761], [0.000, 0.000, 0.239], [0.500, 0.500, 0.000], [0.500, 0.500, 0.500]],
  "energy_ev_per_atom": -4.431,
  "formation_energy_uncorrected_ev_per_atom": -0.52,
  "sg": "No. 123",
  "dos_ef_per_ev_atom": 0.67
}

No. 10
{
  "formula": "LaCdSb2",
  "functional": "PBEsol",
  "state": "optimized geometry",
  "cell": [[-1.901, -1.845, 2.053], [2.414, 0.099, 2.323], [-3.841, 8.019, 3.650]],
  "species": ["Sb", "Sb", "Cd", "La"],
  "frac_coords": [[0.000, 0.000, 0.987], [0.500, 0.500, 0.278], [0.000, 0.000, 0.492], [0.500, 0.500, 0.743]],
  "energy_ev_per_atom": -4.124,
  "formation_energy_uncorrected_ev_per_atom": -0.21,
  "sg": "No. 99",
  "dos_ef_per_ev_atom": 0.58
}

No. 11
{
  "formula": "LaCdSb2",
  "functional": "PBEsol",
  "state": "optimized geometry",
  "cell": [[-1.747, -0.660, 2.750], [-0.882, -3.128, 0.698], [8.758, -2.689, 6.926]],
  "species": ["Sb", "Sb", "Cd", "La"],
  "frac_coords": [[0.996, 0.996, 0.011], [0.757, 0.757, 0.729], [0.498, 0.498, 0.505], [0.248, 0.248, 0.255]],
  "energy_ev_per_atom": -3.959,
  "formation_energy_uncorrected_ev_per_atom": -0.04,
  "sg": "No. 160",
  "dos_ef_per_ev_atom": 0.89
}

No. 12
{
  "formula": "LaCdSb",
  "functional": "PBEsol",
  "state": "optimized geometry",
  "cell": [[4.222, 0.000, 0.000], [0.000, 4.222, 0.000], [-2.111, -2.111, 4.745]],
  "species": ["Sb", "Cd", "La"],
  "frac_coords": [[0.327, 0.327, 0.654], [0.000, 0.000, 0.000], [0.673, 0.673, 0.345]],
  "energy_ev_per_atom": -4.217,
  "formation_energy_uncorrected_ev_per_atom": -0.52,
  "sg": "No. 107",
  "dos_ef_per_ev_atom": 0.43
}